(1)
A plane-wave DFT calculation with PBE-GGA was carried out for a relaxed structure of Ba2SnPbO6.

Output
Formation energy without anion corrections: -1.913 eV per atom
Final energy: -0.222 hartree per atom

abc: 6.042 6.042 6.042
angles: 60.00 60.00 60.00
Element x y z (fractional)
1 Ba 0.250 0.250 0.250
2 Ba 0.750 0.750 0.750
3 Sn 0.000 0.000 0.000
4 Pb 0.500 0.500 0.500
5 O 0.244 0.244 0.756
6 O 0.244 0.756 0.244
7 O 0.244 0.756 0.756
8 O 0.756 0.244 0.244
9 O 0.756 0.244 0.756
10 O 0.756 0.756 0.244

=====

(2)
A plane-wave DFT calculation with PBE-GGA was carried out for a relaxed structure of Ba3Sn2PbO9.

Output
Formation energy without anion corrections: -1.996 eV per atom
Final energy: -0.226 hartree per atom

abc: 6.000 6.000 7.356
angles: 90.00 90.00 120.00
Element x y z (fractional)
1 Ba 0.000 0.000 0.000
2 Ba 0.333 0.667 0.665
3 Ba 0.667 0.333 0.335
4 Sn 0.333 0.667 0.161
5 Sn 0.667 0.333 0.839
6 Pb 0.000 0.000 0.500
7 O 0.000 0.500 0.000
8 O 0.171 0.341 0.327
9 O 0.171 0.829 0.327
10 O 0.341 0.171 0.673
11 O 0.500 0.000 0.000
12 O 0.500 0.500 0.000
13 O 0.659 0.829 0.327
14 O 0.829 0.171 0.673
15 O 0.829 0.659 0.673

=====

(3)
A plane-wave DFT calculation with PBE-GGA was carried out for a relaxed structure of Ba12SnPb4O3.

Output
Formation energy without anion corrections: -0.980 eV per atom
Final energy: -0.140 hartree per atom

abc: 10.056 10.056 10.056
angles: 109.47 109.47 109.47
Element x y z (fractional)
1 Ba 0.000 0.275 0.275
2 Ba 0.000 0.725 0.725
3 Ba 0.250 0.500 0.750
4 Ba 0.250 0.750 0.500
5 Ba 0.275 0.000 0.275
6 Ba 0.275 0.275 0.000
7 Ba 0.500 0.250 0.750
8 Ba 0.500 0.750 0.250
9 Ba 0.725 0.000 0.725
10 Ba 0.725 0.725 0.000
11 Ba 0.750 0.250 0.500
12 Ba 0.750 0.500 0.250
13 Sn 0.000 0.000 0.000
14 Pb 0.000 0.000 0.500
15 Pb 0.000 0.500 0.000
16 Pb 0.500 0.000 0.000
17 Pb 0.500 0.500 0.500
18 O 0.000 0.500 0.500
19 O 0.500 0.000 0.500
20 O 0.500 0.500 0.000

=====

(4)
A plane-wave DFT calculation with PBE-GGA was carried out for a relaxed structure of Ba3SrPb2O6.

Output
Formation energy without anion corrections: -2.072 eV per atom
Final energy: -0.213 hartree per atom

abc: 6.473 6.473 7.090
angles: 90.00 90.00 120.00
Element x y z (fractional)
1 Ba 0.000 0.000 0.000
2 Ba 0.333 0.667 0.599
3 Ba 0.667 0.333 0.401
4 Sr 0.000 0.000 0.500
5 Pb 0.333 0.667 0.118
6 Pb 0.667 0.333 0.882
7 O 0.175 0.349 0.294
8 O 0.175 0.825 0.294
9 O 0.349 0.175 0.706
10 O 0.651 0.825 0.294
11 O 0.825 0.175 0.706
12 O 0.825 0.651 0.706